# RbBi3Te | Alexandria | meta-GGA SCAN | single point on PBEsol structure
data_RbBi3Te
_chemical_formula_sum 'Rb1 Bi3 Te1'
_space_group_name_H-M_alt 'P m -3 m'
_space_group_IT_number 221
_space_group_name_Hall '-P 4 2 3'
_cell_length_a 5.9283
_cell_length_b 5.9283
_cell_length_c 5.9283
_cell_angle_alpha 90.00
_cell_angle_beta 90.00
_cell_angle_gamma 90.00
loop_
_atom_site_label
_atom_site_type_symbol
_atom_site_fract_x
_atom_site_fract_y
_atom_site_fract_z
_atom_site_occupancy
Rb1 Rb 0.0000 0.0000 0.0000 1
Bi1 Bi 0.0000 0.0000 0.5000 1
Te1 Te 0.5000 0.5000 0.5000 1
# **Crystal system**: cubic
# **Theoretical density**: 6.695 g cm⁻³
# **Magnetization**: 0.0 μB per formula unit
# **Energy relative to the lowest polymorph listed for this composition**: 1162 meV/atom
# **Formation energy (no corrections)**: 1.499 eV per atom

=====

# Zn2CuRu | Alexandria | meta-GGA SCAN | single point on PBEsol structure
data_Zn2CuRu
_chemical_formula_sum 'Zn2 Cu1 Ru1'
_space_group_name_H-M_alt 'P 4/m m m'
_space_group_IT_number 123
_space_group_name_Hall '-P 4 2'
_cell_length_a 3.9315
_cell_length_b 3.9315
_cell_length_c 3.3014
_cell_angle_alpha 90.00
_cell_angle_beta 90.00
_cell_angle_gamma 90.00
loop_
_atom_site_label
_atom_site_type_symbol
_atom_site_fract_x
_atom_site_fract_y
_atom_site_fract_z
_atom_site_occupancy
Zn1 Zn 0.0000 0.5000 0.0000 1
Cu1 Cu 0.0000 0.0000 0.5000 1
Ru1 Ru 0.5000 0.5000 0.5000 1
# **Crystal system**: tetragonal
# **Formation enthalpy at 0 K**: -0.12 eV per atom
# **Theoretical density**: 9.614 g cm⁻³
# **Magnetization**: 0.0 μB per formula unit

=====

# LiNbCoO4 | Alexandria | meta-GGA SCAN | single point on PBEsol structure
data_LiNbCoO4
_chemical_formula_sum 'Li4 Nb4 Co4 O16'
_space_group_name_H-M_alt 'I m m a'
_space_group_IT_number 74
_space_group_name_Hall '-I 2b 2'
_cell_length_a 5.7918
_cell_length_b 6.1524
_cell_length_c 8.5653
_cell_angle_alpha 90.00
_cell_angle_beta 90.00
_cell_angle_gamma 90.00
loop_
_atom_site_label
_atom_site_type_symbol
_atom_site_fract_x
_atom_site_fract_y
_atom_site_fract_z
_atom_site_occupancy
Li1 Li 0.0000 0.2500 0.1410 1
Nb1 Nb 0.0000 0.0000 0.5000 1
Co1 Co 0.2500 0.2500 0.7500 1
O1 O 0.0000 0.0215 0.7324 1
O2 O 0.2298 0.2500 0.4971 1
# **Crystal system**: orthorhombic
# **Theoretical density**: 4.848 g cm⁻³
# **Magnetization**: 3.0 μB per formula unit
# **Energy relative to the lowest polymorph listed for this composition**: 75 meV/atom
# **Formation energy (no corrections)**: -2.170 eV per atom

=====

# InCu2Te | Alexandria | meta-GGA SCAN | single point on PBEsol structure
data_InCu2Te
_chemical_formula_sum 'In2 Cu4 Te2'
_space_group_name_H-M_alt 'C 1 2/m 1'
_space_group_IT_number 12
_space_group_name_Hall '-C 2y'
_cell_length_a 6.1713
_cell_length_b 6.4457
_cell_length_c 3.9485
_cell_angle_alpha 90.00
_cell_angle_beta 104.70
_cell_angle_gamma 90.00
loop_
_atom_site_label
_atom_site_type_symbol
_atom_site_fract_x
_atom_site_fract_y
_atom_site_fract_z
_atom_site_occupancy
In1 In 0.0000 0.0000 0.0000 1
Cu1 Cu 0.2500 0.2500 0.5000 1
Te1 Te 0.0000 0.5000 0.0000 1
# **Crystal system**: monoclinic
# **Theoretical density**: 8.078 g cm⁻³
# **Magnetization**: 0.0 μB per formula unit
# **Energy relative to the lowest polymorph listed for this composition**: 200 meV/atom
# **Formation energy (no corrections)**: 0.274 eV per atom

=====

# Ag2OsSe | Alexandria | meta-GGA SCAN | single point on PBEsol structure
data_Ag2OsSe
_chemical_formula_sum 'Ag4 Os2 Se2'
_space_group_name_H-M_alt 'C m m m'
_space_group_IT_number 65
_space_group_name_Hall '-C 2 2'
_cell_length_a 5.3897
_cell_length_b 9.1253
_cell_length_c 2.6553
_cell_angle_alpha 90.00
_cell_angle_beta 90.00
_cell_angle_gamma 90.00
loop_
_atom_site_label
_atom_site_type_symbol
_atom_site_fract_x
_atom_site_fract_y
_atom_site_fract_z
_atom_site_occupancy
Ag1 Ag 0.2500 0.2500 0.0000 1
Os1 Os 0.0000 0.0000 0.5000 1
Se1 Se 0.0000 0.5000 0.5000 1
# **Crystal system**: orthorhombic
# **Theoretical density**: 12.332 g cm⁻³
# **Magnetization**: 0.0 μB per formula unit
# **Formation energy (no corrections)**: 0.727 eV per atom

=====

# CaZn2Hg | Alexandria | meta-GGA SCAN | single point on PBEsol structure
data_CaZn2Hg
_chemical_formula_sum 'Ca2 Zn4 Hg2'
_space_group_name_H-M_alt 'I m m 2'
_space_group_IT_number 44
_space_group_name_Hall 'I 2 -2'
_cell_length_a 4.7767
_cell_length_b 4.7970
_cell_length_c 6.8124
_cell_angle_alpha 90.00
_cell_angle_beta 90.00
_cell_angle_gamma 90.00
loop_
_atom_site_label
_atom_site_type_symbol
_atom_site_fract_x
_atom_site_fract_y
_atom_site_fract_z
_atom_site_occupancy
Ca1 Ca 0.0000 0.0000 0.0000 1
Zn1 Zn 0.0000 0.0000 0.5008 1
Zn2 Zn 0.0000 0.5000 0.2487 1
Hg1 Hg 0.0000 0.5000 0.7512 1
# **Crystal system**: orthorhombic
# **Formation enthalpy at 0 K**: -0.24 eV per atom
# **Theoretical density**: 7.904 g cm⁻³
# **Magnetization**: 0.0 μB per formula unit

=====

# La2Sc | Alexandria | meta-GGA SCAN | single point on PBEsol structure
data_La2Sc
_chemical_formula_sum 'La4 Sc2'
_space_group_name_H-M_alt 'P -6 m 2'
_space_group_IT_number 187
_space_group_name_Hall 'P -6 2'
_cell_length_a 3.4961
_cell_length_b 3.4961
_cell_length_c 17.1399
_cell_angle_alpha 90.00
_cell_angle_beta 90.00
_cell_angle_gamma 120.00
loop_
_atom_site_label
_atom_site_type_symbol
_atom_site_fract_x
_atom_site_fract_y
_atom_site_fract_z
_atom_site_occupancy
La1 La 0.0000 0.0000 0.0000 1
La2 La 0.0000 0.0000 0.3181 1
La3 La 0.3333 0.6667 0.5000 1
Sc1 Sc 0.3333 0.6667 0.1610 1
# **Crystal system**: hexagonal
# **Formation enthalpy at 0 K**: 0.10 eV per atom
# **Theoretical density**: 5.908 g cm⁻³
# **Magnetization**: 0.0 μB per formula unit
# **Energy relative to the lowest polymorph listed for this composition**: 50 meV/atom

=====

# ZnFe2Os | Alexandria | meta-GGA SCAN | single point on PBEsol structure
data_ZnFe2Os
_chemical_formula_sum 'Zn2 Fe4 Os2'
_space_group_name_H-M_alt 'I 4/m m m'
_space_group_IT_number 139
_space_group_name_Hall '-I 4 2'
_cell_length_a 3.6418
_cell_length_b 3.6418
_cell_length_c 7.2223
_cell_angle_alpha 90.00
_cell_angle_beta 90.00
_cell_angle_gamma 90.00
loop_
_atom_site_label
_atom_site_type_symbol
_atom_site_fract_x
_atom_site_fract_y
_atom_site_fract_z
_atom_site_occupancy
Zn1 Zn 0.0000 0.0000 0.0000 1
Fe1 Fe 0.0000 0.5000 0.2500 1
Os1 Os 0.0000 0.0000 0.5000 1
# **Crystal system**: tetragonal
# **Formation enthalpy at 0 K**: 0.16 eV per atom
# **Theoretical density**: 12.736 g cm⁻³
# **Magnetization**: 5.6 μB per formula unit

=====

# HfFe3S | Alexandria | meta-GGA SCAN | single point on PBEsol structure
data_HfFe3S
_chemical_formula_sum 'Hf1 Fe3 S1'
_space_group_name_H-M_alt 'P m -3 m'
_space_group_IT_number 221
_space_group_name_Hall '-P 4 2 3'
_cell_length_a 4.5221
_cell_length_b 4.5221
_cell_length_c 4.5221
_cell_angle_alpha 90.00
_cell_angle_beta 90.00
_cell_angle_gamma 90.00
loop_
_atom_site_label
_atom_site_type_symbol
_atom_site_fract_x
_atom_site_fract_y
_atom_site_fract_z
_atom_site_occupancy
Hf1 Hf 0.0000 0.0000 0.0000 1
Fe1 Fe 0.0000 0.0000 0.5000 1
S1 S 0.5000 0.5000 0.5000 1
# **Crystal system**: cubic
# **Theoretical density**: 6.789 g cm⁻³
# **Magnetization**: 6.5 μB per formula unit
# **Formation energy (no corrections)**: 1.693 eV per atom

=====

# Tl2Rh2Pb | Alexandria | meta-GGA SCAN | single point on PBEsol structure
data_Tl2Rh2Pb
_chemical_formula_sum 'Tl4 Rh4 Pb2'
_space_group_name_H-M_alt 'I 4/m m m'
_space_group_IT_number 139
_space_group_name_Hall '-I 4 2'
_cell_length_a 4.2494
_cell_length_b 4.2494
_cell_length_c 12.1756
_cell_angle_alpha 90.00
_cell_angle_beta 90.00
_cell_angle_gamma 90.00
loop_
_atom_site_label
_atom_site_type_symbol
_atom_site_fract_x
_atom_site_fract_y
_atom_site_fract_z
_atom_site_occupancy
Tl1 Tl 0.0000 0.0000 0.1194 1
Rh1 Rh 0.0000 0.5000 0.2500 1
Pb1 Pb 0.0000 0.0000 0.5000 1
# **Crystal system**: tetragonal
# **Formation enthalpy at 0 K**: 0.38 eV per atom
# **Theoretical density**: 12.413 g cm⁻³
# **Magnetization**: 0.0 μB per formula unit

=====

# ZnAg2Rh | Alexandria | meta-GGA SCAN | single point on PBEsol structure
data_ZnAg2Rh
_chemical_formula_sum 'Zn2 Ag4 Rh2'
_space_group_name_H-M_alt 'C m m m'
_space_group_IT_number 65
_space_group_name_Hall '-C 2 2'
_cell_length_a 5.3879
_cell_length_b 7.9082
_cell_length_c 2.8038
_cell_angle_alpha 90.00
_cell_angle_beta 90.00
_cell_angle_gamma 90.00
loop_
_atom_site_label
_atom_site_type_symbol
_atom_site_fract_x
_atom_site_fract_y
_atom_site_fract_z
_atom_site_occupancy
Zn1 Zn 0.0000 0.0000 0.0000 1
Ag1 Ag 0.2500 0.2500 0.5000 1
Rh1 Rh 0.0000 0.5000 0.0000 1
# **Crystal system**: orthorhombic
# **Formation enthalpy at 0 K**: 0.08 eV per atom
# **Theoretical density**: 10.676 g cm⁻³
# **Magnetization**: 0.0 μB per formula unit

=====

# AlPtRh2 | Alexandria | meta-GGA SCAN | single point on PBEsol structure
data_AlPtRh2
_chemical_formula_sum 'Al1 Pt1 Rh2'
_space_group_name_H-M_alt 'P m m m'
_space_group_IT_number 47
_space_group_name_Hall '-P 2 2'
_cell_length_a 2.7830
_cell_length_b 4.4817
_cell_length_c 4.4820
_cell_angle_alpha 90.00
_cell_angle_beta 90.00
_cell_angle_gamma 90.00
loop_
_atom_site_label
_atom_site_type_symbol
_atom_site_fract_x
_atom_site_fract_y
_atom_site_fract_z
_atom_site_occupancy
Al1 Al 0.0000 0.0000 0.0000 1
Pt1 Pt 0.5000 0.0000 0.5000 1
Rh1 Rh 0.0000 0.5000 0.5000 1
Rh2 Rh 0.5000 0.5000 0.0000 1
# **Crystal system**: orthorhombic
# **Formation enthalpy at 0 K**: -0.52 eV per atom
# **Theoretical density**: 12.710 g cm⁻³
# **Magnetization**: 0.0 μB per formula unit

=====

# Er2ReC2 | Alexandria | meta-GGA SCAN | single point on PBEsol structure
data_Er2ReC2
_chemical_formula_sum 'Er8 Re4 C8'
_space_group_name_H-M_alt 'P n m a'
_space_group_IT_number 62
_space_group_name_Hall '-P 2ac 2n'
_cell_length_a 6.4660
_cell_length_b 4.9959
_cell_length_c 9.6648
_cell_angle_alpha 90.00
_cell_angle_beta 90.00
_cell_angle_gamma 90.00
loop_
_atom_site_label
_atom_site_type_symbol
_atom_site_fract_x
_atom_site_fract_y
_atom_site_fract_z
_atom_site_occupancy
Er1 Er 0.0341 0.2500 0.2160 1
Er2 Er 0.1771 0.2500 0.5569 1
Re1 Re 0.2159 0.2500 0.8691 1
C1 C 0.0511 0.7500 0.2413 1
C2 C 0.1728 0.7500 0.5540 1
# **Crystal system**: orthorhombic
# **Formation enthalpy at 0 K**: -0.56 eV per atom
# **Theoretical density**: 11.589 g cm⁻³
# **Magnetization**: 0.0 μB per formula unit

=====

# SrAgRu2 | Alexandria | meta-GGA SCAN | single point on PBEsol structure
data_SrAgRu2
_chemical_formula_sum 'Sr1 Ag1 Ru2'
_space_group_name_H-M_alt 'P 4/m m m'
_space_group_IT_number 123
_space_group_name_Hall '-P 4 2'
_cell_length_a 2.7953
_cell_length_b 2.7953
_cell_length_c 8.9651
_cell_angle_alpha 90.00
_cell_angle_beta 90.00
_cell_angle_gamma 90.00
loop_
_atom_site_label
_atom_site_type_symbol
_atom_site_fract_x
_atom_site_fract_y
_atom_site_fract_z
_atom_site_occupancy
Sr1 Sr 0.0000 0.0000 0.0000 1
Ag1 Ag 0.0000 0.0000 0.5000 1
Ru1 Ru 0.5000 0.5000 0.2763 1
# **Crystal system**: tetragonal
# **Formation enthalpy at 0 K**: 0.87 eV per atom
# **Theoretical density**: 9.426 g cm⁻³
# **Magnetization**: 2.6 μB per formula unit
# **Energy relative to the lowest polymorph listed for this composition**: 451 meV/atom